A geometry-optimized SmEuDyTl structure. Source: Alexandria, functional PBE.

Summary:
- spin magnetization (Bohr magnetons per cell) = 30.52
- calculated formation energy (eV/atom) = -0.0435

```
data_SmEuDyTl
_chemical_formula_sum 'Sm4 Eu4 Dy4 Tl4'
_cell_length_a 7.865
_cell_length_b 7.865
_cell_length_c 7.865
_cell_angle_alpha 90.00
_cell_angle_beta 90.00
_cell_angle_gamma 90.00
_symmetry_space_group_name_H-M 'F -4 3 m'
_symmetry_Int_Tables_number 216
_symmetry_space_group_name_Hall 'F -4 2 3'
loop_
_atom_site_label
_atom_site_fract_x
_atom_site_fract_y
_atom_site_fract_z
Sm1 0.000 0.000 0.000
Eu1 0.250 0.250 0.750
Dy1 0.000 0.000 0.500
Tl1 0.250 0.250 0.250
```